# 1
VASP calculation (GGA-PBE) on an optimized crystal structure of LiCaFe.

## Properties
Offset from the most stable computed form ... 0.000 eV/atom
Fermi-level density of states ... 0.8051 states/eV/atom
ΔH_f (0 K) ... 0.2532 eV/atom
Density ... 2.44 Mg/m³
Total magnetization ... 1.988 μB/f.u.

a = 17.168 Å, b = 4.398 Å, c = 3.708 Å
α = 90.00°, β = 90.17°, γ = 90.00°
Space group C2/m (No. 12)
Asymmetric unit:
Li1 0.204 0.000 0.251
Ca1 0.091 0.500 0.751
Fe1 0.036 0.000 0.251

# 2
VASP calculation (GGA-PBE) on an optimized crystal structure of B3PF.

## Properties
Offset from the most stable computed form ... 0.000 eV/atom
Fermi-level density of states ... 0.6135 states/eV/atom
Density ... 2.32 Mg/m³
Total magnetization ... 0.000 μB/f.u.

a = 3.894 Å, b = 3.894 Å, c = 3.894 Å
α = 90.00°, β = 90.00°, γ = 90.00°
Space group Pm-3m (No. 221)
Asymmetric unit:
B1 0.000 0.000 0.500
P1 0.000 0.000 0.000
F1 0.500 0.500 0.500

# 3
VASP calculation (GGA-PBE) on an optimized crystal structure of BeAg2Cl.

## Properties
Offset from the most stable computed form ... 0.216 eV/atom
Fermi-level density of states ... 0.2657 states/eV/atom
Density ... 5.83 Mg/m³
Total magnetization ... 0.000 μB/f.u.

a = 2.907 Å, b = 2.907 Å, c = 8.764 Å
α = 90.00°, β = 90.00°, γ = 90.00°
Space group P4mm (No. 99)
Asymmetric unit:
Be1 0.000 0.000 0.000
Ag1 0.000 0.000 0.557
Ag2 0.500 0.500 0.801
Cl1 0.500 0.500 0.146

# 4
VASP calculation (GGA-PBE) on an optimized crystal structure of Cs2CrPBr6.

## Properties
Fermi-level density of states ... 0.1129 states/eV/atom
Electronic total energy ... -3.57 eV/atom
Density ... 4.09 Mg/m³
Total magnetization ... 5.000 μB/f.u.

a = 7.528 Å, b = 7.528 Å, c = 11.863 Å
α = 90.00°, β = 90.00°, γ = 90.00°
Space group I4/mmm (No. 139)
Asymmetric unit:
Cs1 0.000 0.500 0.250
Cr1 0.000 0.000 0.000
P1 0.000 0.000 0.500
Br1 0.000 0.000 0.212
Br2 0.244 0.244 0.500

# 5
VASP calculation (GGA-PBE) on an optimized crystal structure of Dy5YTm5.

## Properties
Offset from the most stable computed form ... 0.000 eV/atom
Fermi-level density of states ... 1.4971 states/eV/atom
ΔH_f (0 K) ... 0.1500 eV/atom
Density ... 8.21 Mg/m³
Total magnetization ... 0.000 μB/f.u.

a = 6.769 Å, b = 6.925 Å, c = 8.245 Å
α = 76.10°, β = 76.90°, γ = 72.62°
Space group P-1 (No. 2)
Asymmetric unit:
Dy1 0.000 0.000 0.000
Dy2 0.158 0.130 0.358
Dy3 0.328 0.265 0.655
Y1 0.000 0.500 0.000
Tm1 0.206 0.637 0.319
Tm2 0.353 0.748 0.719
Tm3 0.500 0.000 0.000

# 6
VASP calculation (GGA-PBE) on an optimized crystal structure of Y2Tm3Th2.

## Properties
Offset from the most stable computed form ... 0.116 eV/atom
Fermi-level density of states ... 1.5530 states/eV/atom
ΔH_f (0 K) ... 0.1404 eV/atom
Density ... 8.57 Mg/m³
Total magnetization ... 0.000 μB/f.u.

a = 17.390 Å, b = 3.430 Å, c = 8.538 Å
α = 90.00°, β = 119.08°, γ = 90.00°
Space group C2/m (No. 12)
Asymmetric unit:
Y1 0.064 0.000 0.221
Tm1 0.000 0.500 0.500
Tm2 0.216 0.500 0.631
Th1 0.152 0.500 0.955

# 7
VASP calculation (GGA-PBE) on an optimized crystal structure of Sc3TcPb.

## Properties
Offset from the most stable computed form ... 0.000 eV/atom
Fermi-level density of states ... 0.1888 states/eV/atom
ΔH_f (0 K) ... 0.0092 eV/atom
Density ... 5.78 Mg/m³
Total magnetization ... 0.000 μB/f.u.

a = 5.018 Å, b = 5.018 Å, c = 5.018 Å
α = 90.00°, β = 90.00°, γ = 90.00°
Space group Pm-3m (No. 221)
Asymmetric unit:
Sc1 0.000 0.000 0.500
Tc1 0.000 0.000 0.000
Pb1 0.500 0.500 0.500

# 8
VASP calculation (GGA-PBE) on an optimized crystal structure of Mg5Ga2Pd12.

## Properties
Fermi-level density of states ... 0.3174 states/eV/atom
ΔH_f (0 K) ... -0.5603 eV/atom
Density ... 8.33 Mg/m³
Total magnetization ... 0.000 μB/f.u.

a = 12.593 Å, b = 8.178 Å, c = 5.960 Å
α = 90.00°, β = 92.67°, γ = 90.00°
Space group C2/m (No. 12)
Asymmetric unit:
Mg1 0.000 0.000 0.000
Mg2 0.175 0.500 0.429
Mg3 0.245 0.000 0.043
Ga1 0.000 0.247 0.500
Pd1 0.044 0.500 0.763
Pd2 0.102 0.275 0.113
Pd3 0.114 0.000 0.399
Pd4 0.189 0.234 0.702

# 9
VASP calculation (GGA-PBE) on an optimized crystal structure of Ca2NiBr.

## Properties
Offset from the most stable computed form ... 0.132 eV/atom
Fermi-level density of states ... 0.3393 states/eV/atom
Density ... 3.47 Mg/m³
Total magnetization ... 0.001 μB/f.u.

a = 4.234 Å, b = 4.234 Å, c = 5.832 Å
α = 90.00°, β = 90.00°, γ = 90.00°
Space group P4mm (No. 99)
Asymmetric unit:
Ca1 0.000 0.000 0.000
Ca2 0.500 0.500 0.498
Ni1 0.000 0.000 0.497
Br1 0.500 0.500 0.998

# 10
VASP calculation (GGA-PBE) on an optimized crystal structure of Sc2BeHg.

## Properties
Offset from the most stable computed form ... 0.085 eV/atom
Fermi-level density of states ... 0.9291 states/eV/atom
ΔH_f (0 K) ... -0.1521 eV/atom
Density ... 6.42 Mg/m³
Total magnetization ... 0.000 μB/f.u.

a = 6.767 Å, b = 6.767 Å, c = 6.767 Å
α = 90.00°, β = 90.00°, γ = 90.00°
Space group Fm-3m (No. 225)
Asymmetric unit:
Sc1 0.250 0.250 0.250
Be1 0.000 0.000 0.000
Hg1 0.000 0.000 0.500

# 11
VASP calculation (GGA-PBE) on an optimized crystal structure of V3CuIr.

## Properties
Offset from the most stable computed form ... 0.057 eV/atom
Fermi-level density of states ... 1.9603 states/eV/atom
ΔH_f (0 K) ... 1.1849 eV/atom
Density ... 8.45 Mg/m³
Total magnetization ... 2.713 μB/f.u.

a = 4.314 Å, b = 4.314 Å, c = 4.314 Å
α = 90.00°, β = 90.00°, γ = 90.00°
Space group Pm-3m (No. 221)
Asymmetric unit:
V1 0.000 0.000 0.500
Cu1 0.000 0.000 0.000
Ir1 0.500 0.500 0.500

# 12
VASP calculation (GGA-PBE) on an optimized crystal structure of NaEu2Zn.

## Properties
Offset from the most stable computed form ... 0.120 eV/atom
Fermi-level density of states ... 2.9375 states/eV/atom
ΔH_f (0 K) ... 0.0070 eV/atom
Density ... 4.53 Mg/m³
Total magnetization ... 15.550 μB/f.u.

a = 3.8714 Å, b = 3.8714 Å, c = 33.2153 Å
α = 90.00°, β = 90.00°, γ = 120.00°
Space group R-3m (No. 166, hexagonal axes)
Asymmetric unit:
Na1 0.0000 0.0000 0.0000
Eu1 0.0000 0.0000 0.2341
Zn1 0.0000 0.0000 0.5000